# 1
Material: TiNb2I
Method: DFT, GGA-PBE
State: relaxed

a b c (Å): 4.7284 4.7284 4.7284
angles (deg): 60.00 60.00 60.00
Element x y z (fractional)
Ti1 0.0000 0.0000 0.0000
Nb1 0.2500 0.2500 0.2500
Nb2 0.7500 0.7500 0.7500
I1 0.5000 0.5000 0.5000

Output
SG ... No. 225
Raw formation energy ... 0.587 eV per atom
N(E_F) ... 4.44 states/eV per cell
Energy relative to the lowest polymorph listed for this composition ... 0.00 eV per formula unit


# 2
Material: TiNb3I
Method: DFT, GGA-PBE
State: relaxed

a b c (Å): 4.9724 4.9724 4.9724
angles (deg): 90.00 90.00 90.00
Element x y z (fractional)
Ti1 0.0000 0.0000 0.0000
Nb1 0.0000 0.5000 0.5000
Nb2 0.5000 0.0000 0.5000
Nb3 0.5000 0.5000 0.0000
I1 0.5000 0.5000 0.5000

Output
SG ... No. 221
Raw formation energy ... 1.634 eV per atom
N(E_F) ... 4.62 states/eV per cell
Energy relative to the lowest polymorph listed for this composition ... 1.66 eV per formula unit


# 3
Material: TiNb2I
Method: DFT, GGA-PBE
State: relaxed

a b c (Å): 10.4608 10.4608 10.4608
angles (deg): 157.79 157.79 31.61
Element x y z (fractional)
Ti1 0.0000 0.0000 0.0000
Ti2 0.7500 0.2500 0.5000
Nb1 0.1251 0.6250 0.0001
Nb2 0.3750 0.3751 0.5001
Nb3 0.6249 0.1250 0.9999
Nb4 0.8750 0.8749 0.4999
I1 0.2500 0.7500 0.5000
I2 0.5000 0.5000 0.0000

Output
SG ... No. 122
Raw formation energy ... 0.636 eV per atom
N(E_F) ... 7.07 states/eV per cell
Energy relative to the lowest polymorph listed for this composition ... 0.20 eV per formula unit


# 4
Material: TiNb3I
Method: DFT, GGA-PBE
State: relaxed

a b c (Å): 4.8388 4.8388 4.8388
angles (deg): 90.00 90.00 90.00
Element x y z (fractional)
Ti1 0.0000 0.0000 0.0000
Nb1 0.0000 0.0000 0.5000
Nb2 0.0000 0.5000 0.0000
Nb3 0.5000 0.0000 0.0000
I1 0.5000 0.5000 0.5000

Output
SG ... No. 221
Raw formation energy ... 1.302 eV per atom
N(E_F) ... 4.30 states/eV per cell
Energy relative to the lowest polymorph listed for this composition ... 0.00 eV per formula unit


# 5
Material: Ti2NbI
Method: DFT, GGA-PBE
State: relaxed

a b c (Å): 4.7047 4.7047 4.7047
angles (deg): 60.00 60.00 60.00
Element x y z (fractional)
Ti1 0.2500 0.2500 0.2500
Ti2 0.7500 0.7500 0.7500
Nb1 0.0000 0.0000 0.0000
I1 0.5000 0.5000 0.5000

Output
SG ... No. 225
Raw formation energy ... 0.431 eV per atom
N(E_F) ... 4.72 states/eV per cell
Energy relative to the lowest polymorph listed for this composition ... 0.00 eV per formula unit


# 6
Material: NbTlI6
Method: DFT, GGA-PBE
State: relaxed

a b c (Å): 8.2375 8.2375 8.2375
angles (deg): 55.27 55.27 55.27
Element x y z (fractional)
Nb1 0.0000 0.0000 0.0000
Tl1 0.5000 0.5000 0.5000
I1 0.0311 0.3949 0.8021
I2 0.1979 0.9689 0.6051
I3 0.3949 0.8021 0.0311
I4 0.6051 0.1979 0.9689
I5 0.8021 0.0311 0.3949
I6 0.9689 0.6051 0.1979

Output
SG ... No. 148
Raw formation energy ... -0.446 eV per atom
Energy relative to the lowest polymorph listed for this composition ... 0.03 eV per formula unit


# 7
Material: NbTl2I6
Method: DFT, GGA-PBE
State: relaxed

a b c (Å): 7.8812 8.6071 13.4714
angles (deg): 90.00 124.83 90.00
Element x y z (fractional)
Nb1 0.0000 0.0000 0.0000
Nb2 0.0000 0.5000 0.5000
Tl1 0.2788 0.0957 0.7524
Tl2 0.2788 0.4043 0.2524
Tl3 0.7212 0.5957 0.7476
Tl4 0.7212 0.9043 0.2476
I1 0.1531 0.0149 0.2466
I2 0.1531 0.4851 0.7466
I3 0.2194 0.7205 0.0435
I4 0.2194 0.7795 0.5435
I5 0.3428 0.1747 0.0470
I6 0.3428 0.3253 0.5470
I7 0.6572 0.6747 0.4530
I8 0.6572 0.8253 0.9530
I9 0.7806 0.2205 0.4565
I10 0.7806 0.2795 0.9565
I11 0.8469 0.5149 0.2534
I12 0.8469 0.9851 0.7534

Output
SG ... No. 14
Raw formation energy ... -0.534 eV per atom
N(E_F) ... 12.23 states/eV per cell
Energy relative to the lowest polymorph listed for this composition ... 0.00 eV per formula unit


# 8
Material: Nb2TlI
Method: DFT, GGA-PBE
State: relaxed

a b c (Å): 4.8897 4.8897 4.8897
angles (deg): 60.00 60.00 60.00
Element x y z (fractional)
Nb1 0.2500 0.2500 0.2500
Nb2 0.7500 0.7500 0.7500
Tl1 0.0000 0.0000 0.0000
I1 0.5000 0.5000 0.5000

Output
SG ... No. 225
Raw formation energy ... 0.644 eV per atom
N(E_F) ... 4.66 states/eV per cell
Energy relative to the lowest polymorph listed for this composition ... 0.00 eV per formula unit


# 9
Material: NbTl2I6
Method: DFT, GGA-PBE
State: relaxed

a b c (Å): 8.0175 8.0175 8.2095
angles (deg): 119.96 119.96 60.85
Element x y z (fractional)
Nb1 0.0000 0.0000 0.0000
Tl1 0.2465 0.2465 0.7750
Tl2 0.7535 0.7535 0.2250
I1 0.1949 0.7056 0.1867
I2 0.2386 0.2386 0.3288
I3 0.2944 0.8051 0.8133
I4 0.7056 0.1949 0.1867
I5 0.7614 0.7614 0.6712
I6 0.8051 0.2944 0.8133

Output
SG ... No. 12
Raw formation energy ... -0.519 eV per atom
N(E_F) ... 5.85 states/eV per cell
Energy relative to the lowest polymorph listed for this composition ... 0.13 eV per formula unit


# 10
Material: Nb2TlI
Method: DFT, GGA-PBE
State: relaxed

a b c (Å): 10.6388 10.6388 10.6388
angles (deg): 156.54 156.54 33.41
Element x y z (fractional)
Nb1 0.1102 0.6250 0.9852
Nb2 0.3750 0.3602 0.4852
Nb3 0.6398 0.1250 0.0148
Nb4 0.8750 0.8898 0.5148
Tl1 0.2500 0.7500 0.5000
Tl2 0.5000 0.5000 0.0000
I1 0.0000 0.0000 0.0000
I2 0.7500 0.2500 0.5000

Output
SG ... No. 122
Raw formation energy ... 0.859 eV per atom
N(E_F) ... 4.55 states/eV per cell
Energy relative to the lowest polymorph listed for this composition ... 0.86 eV per formula unit


# 11
Material: Nb3TlI
Method: DFT, GGA-PBE
State: relaxed

a b c (Å): 5.2044 5.2044 5.2044
angles (deg): 90.00 90.00 90.00
Element x y z (fractional)
Nb1 0.0000 0.0000 0.5000
Nb2 0.0000 0.5000 0.0000
Nb3 0.5000 0.0000 0.0000
Tl1 0.0000 0.0000 0.0000
I1 0.5000 0.5000 0.5000

Output
SG ... No. 221
Raw formation energy ... 2.060 eV per atom
N(E_F) ... 8.45 states/eV per cell
Energy relative to the lowest polymorph listed for this composition ... 2.61 eV per formula unit


# 12
Material: Nb3TlI
Method: DFT, GGA-PBE
State: relaxed

a b c (Å): 5.0390 5.0390 5.0390
angles (deg): 90.00 90.00 90.00
Element x y z (fractional)
Nb1 0.0000 0.0000 0.5000
Nb2 0.0000 0.5000 0.0000
Nb3 0.5000 0.0000 0.0000
Tl1 0.5000 0.5000 0.5000
I1 0.0000 0.0000 0.0000

Output
SG ... No. 221
Raw formation energy ... 1.539 eV per atom
N(E_F) ... 7.40 states/eV per cell
Energy relative to the lowest polymorph listed for this composition ... 0.00 eV per formula unit


# 13
Material: NbTl3I
Method: DFT, GGA-PBE
State: relaxed

a b c (Å): 6.3003 6.3003 6.3003
angles (deg): 90.00 90.00 90.00
Element x y z (fractional)
Nb1 0.0000 0.0000 0.0000
Tl1 0.0000 0.5000 0.5000
Tl2 0.5000 0.0000 0.5000
Tl3 0.5000 0.5000 0.0000
I1 0.5000 0.5000 0.5000

Output
SG ... No. 221
Raw formation energy ... 1.186 eV per atom
N(E_F) ... 10.35 states/eV per cell
Energy relative to the lowest polymorph listed for this composition ... 3.66 eV per formula unit


# 14
Material: NbTlI4
Method: DFT, GGA-PBE
State: relaxed

a b c (Å): 8.1847 8.1847 13.4796
angles (deg): 92.95 92.95 136.40
Element x y z (fractional)
Nb1 0.2128 0.7872 0.7500
Nb2 0.7872 0.2128 0.2500
Tl1 0.3249 0.6751 0.2500
Tl2 0.6751 0.3249 0.7500
I1 0.0187 0.8041 0.5888
I2 0.1470 0.4609 0.8500
I3 0.1959 0.9813 0.9112
I4 0.4609 0.1470 0.3500
I5 0.5391 0.8530 0.6500
I6 0.8041 0.0187 0.0888
I7 0.8530 0.5391 0.1500
I8 0.9813 0.1959 0.4112

Output
SG ... No. 15
Raw formation energy ... -0.282 eV per atom
N(E_F) ... 8.99 states/eV per cell


# 15
Material: NbTlI6
Method: DFT, GGA-PBE
State: relaxed

a b c (Å): 7.4602 7.4602 7.8223
angles (deg): 98.98 98.98 116.95
Element x y z (fractional)
Nb1 0.0000 0.0000 0.0000
Tl1 0.5000 0.5000 0.5000
I1 0.0418 0.3561 0.2225
I2 0.2435 0.2435 0.8061
I3 0.3561 0.0418 0.2225
I4 0.6439 0.9582 0.7775
I5 0.7565 0.7565 0.1939
I6 0.9582 0.6439 0.7775

Output
SG ... No. 12
Raw formation energy ... -0.450 eV per atom
Energy relative to the lowest polymorph listed for this composition ... 0.00 eV per formula unit


# 16
Material: NbTl3I
Method: DFT, GGA-PBE
State: relaxed

a b c (Å): 5.6973 5.6973 5.6973
angles (deg): 90.00 90.00 90.00
Element x y z (fractional)
Nb1 0.0000 0.0000 0.0000
Tl1 0.0000 0.0000 0.5000
Tl2 0.0000 0.5000 0.0000
Tl3 0.5000 0.0000 0.0000
I1 0.5000 0.5000 0.5000

Output
SG ... No. 221
Raw formation energy ... 0.453 eV per atom
N(E_F) ... 3.07 states/eV per cell
Energy relative to the lowest polymorph listed for this composition ... 0.00 eV per formula unit


# 17
Material: YNbTlI2
Method: DFT, GGA-PBE
State: relaxed

a b c (Å): 5.4211 5.4211 5.7199
angles (deg): 90.00 90.00 90.00
Element x y z (fractional)
Y1 0.0000 0.0000 0.0000
Nb1 0.5000 0.5000 0.5000
Tl1 0.5000 0.5000 0.0000
I1 0.0000 0.5000 0.5000
I2 0.5000 0.0000 0.5000

Output
SG ... No. 123
Raw formation energy ... 0.444 eV per atom
N(E_F) ... 4.88 states/eV per cell
Energy relative to the lowest polymorph listed for this composition ... 0.00 eV per formula unit


# 18
Material: YNbTlI2
Method: DFT, GGA-PBE
State: relaxed

a b c (Å): 6.0450 6.0450 5.6149
angles (deg): 90.00 90.00 90.00
Element x y z (fractional)
Y1 0.0000 0.0000 0.0000
Nb1 0.5000 0.5000 0.0000
Tl1 0.5000 0.5000 0.5000
I1 0.0000 0.5000 0.5000
I2 0.5000 0.0000 0.5000

Output
SG ... No. 123
Raw formation energy ... 1.026 eV per atom
N(E_F) ... 7.30 states/eV per cell
Energy relative to the lowest polymorph listed for this composition ... 2.91 eV per formula unit


# 19
Material: TmNbI2
Method: DFT, GGA-PBE
State: relaxed

a b c (Å): 10.2877 10.2877 10.2877
angles (deg): 19.96 19.96 19.96
Element x y z (fractional)
Tm1 0.0000 0.0000 0.0000
Nb1 0.5000 0.5000 0.5000
I1 0.4080 0.4080 0.4080
I2 0.5920 0.5920 0.5920

Output
SG ... No. 166
Raw formation energy ... 0.134 eV per atom
N(E_F) ... 3.48 states/eV per cell


# 20
Material: TmNbI
Method: DFT, GGA-PBE
State: relaxed

a b c (Å): 3.6545 3.6545 12.6237
angles (deg): 90.17 90.17 89.65
Element x y z (fractional)
Tm1 0.2455 0.2455 0.1968
Tm2 0.7545 0.7545 0.8032
Nb1 0.2592 0.2592 0.9484
Nb2 0.7408 0.7408 0.0516
I1 0.2505 0.2505 0.6528
I2 0.7495 0.7495 0.3472

Output
SG ... No. 12
Raw formation energy ... -0.402 eV per atom
N(E_F) ... 4.86 states/eV per cell